# 1
Al2Ag after structural relaxation, computed with PBEsol.

Calculated values
The space group is P-1 (2). For the total energy, the calculation gives -3.870 eV/atom.

abc: 4.8899 6.4333 6.8793
angles: 110.59 91.21 104.37
Sites, in units of the cell vectors:
Al (0.8614, 0.3740, 0.1229)
Al (0.2046, 0.3729, 0.4556)
Al (0.0299, 0.8714, 0.2898)
Al (0.6234, 0.1244, 0.3731)
Al (0.7954, 0.6271, 0.5444)
Al (0.9701, 0.1286, 0.7102)
Al (0.1386, 0.6260, 0.8771)
Al (0.3766, 0.8756, 0.6269)
Ag (0.2887, 0.1258, 0.0471)
Ag (0.7113, 0.8742, 0.9529)
Ag (0.5508, 0.3709, 0.7816)
Ag (0.4492, 0.6291, 0.2184)

=====

# 2
AlCoSb2Ir after structural relaxation, computed with PBEsol.

Calculated values
The space group is P4/mmm (123). For the total energy, the calculation gives -4.832 eV/atom. The energy relative to the elements, uncorrected is 1.32 eV per atom.

abc: 4.4491 5.0712 5.0712
angles: 90.00 90.00 90.00
Sites, in units of the cell vectors:
Sb (0.0000, 0.5000, 0.0000)
Sb (0.0000, 0.0000, 0.5000)
Ir (0.5000, 0.0000, 0.0000)
Al (0.0000, 0.0000, 0.0000)
Co (0.5000, 0.5000, 0.5000)